No. 1
Density functional theory data (PBE-GGA) for a geometry-optimized SrCa2Au4 structure.

Cell: 9.941 9.941 9.941 Å, 28.84 28.84 28.84°
Sites, in units of the cell vectors:
Sr  0.000  0.000  0.000
Ca  0.215  0.215  0.215
Ca  0.785  0.785  0.785
Au  0.109  0.109  0.109
Au  0.402  0.402  0.402
Au  0.598  0.598  0.598
Au  0.891  0.891  0.891

Calculated values
Calculated volume (Å³ per atom): 28.9
ΔE_f (eV per atom): -0.66
Crystal system: trigonal


No. 2
Density functional theory data (PBE-GGA) for a geometry-optimized SrCaAu structure.

Cell: 5.261 5.261 5.261 Å, 60.00 60.00 60.00°
Sites, in units of the cell vectors:
Sr  0.000  0.000  0.000
Ca  0.750  0.750  0.750
Au  0.250  0.250  0.250

Calculated values
Calculated volume (Å³ per atom): 34.3
ΔE_f (eV per atom): 0.10
Polymorph energy (0 for the lowest one) (eV per atom): 0.711
Crystal system: cubic


No. 3
Density functional theory data (PBE-GGA) for a geometry-optimized SrCaAu10 structure.

Cell: 4.680 5.619 9.878 Å, 90.00 90.00 90.00°
Sites, in units of the cell vectors:
Sr  0.000  0.000  0.000
Ca  0.000  0.500  0.500
Au  0.000  0.000  0.340
Au  0.000  0.000  0.660
Au  0.000  0.500  0.174
Au  0.000  0.500  0.826
Au  0.500  0.000  0.500
Au  0.500  0.250  0.250
Au  0.500  0.250  0.750
Au  0.500  0.500  0.000
Au  0.500  0.750  0.250
Au  0.500  0.750  0.750

Calculated values
Calculated volume (Å³ per atom): 21.6
ΔE_f (eV per atom): -0.42
Crystal system: orthorhombic


No. 4
Density functional theory data (PBE-GGA) for a geometry-optimized Sr3Ca2Au structure.

Cell: 11.196 11.196 8.395 Å, 100.94 100.94 31.52°
Sites, in units of the cell vectors:
Sr  0.000  0.000  0.250
Sr  0.000  0.000  0.750
Sr  0.391  0.391  0.445
Sr  0.391  0.391  0.945
Sr  0.609  0.609  0.055
Sr  0.609  0.609  0.555
Ca  0.205  0.205  0.353
Ca  0.205  0.205  0.853
Ca  0.795  0.795  0.147
Ca  0.795  0.795  0.647
Au  0.500  0.500  0.250
Au  0.500  0.500  0.750

Calculated values
Calculated volume (Å³ per atom): 44.9
ΔE_f (eV per atom): -0.24
Crystal system: monoclinic


No. 5
Density functional theory data (PBE-GGA) for a geometry-optimized SrCa2Au structure.

Cell: 6.661 6.661 6.661 Å, 137.33 137.33 61.94°
Sites, in units of the cell vectors:
Sr  0.000  0.000  0.000
Ca  0.250  0.750  0.500
Ca  0.750  0.250  0.500
Au  0.500  0.500  0.000

Calculated values
Calculated volume (Å³ per atom): 33.6
ΔE_f (eV per atom): -0.18
Polymorph energy (0 for the lowest one) (eV per atom): 0.285
Crystal system: tetragonal


No. 6
Density functional theory data (PBE-GGA) for a geometry-optimized SrCa4Au5 structure.

Cell: 3.700 3.700 18.220 Å, 90.00 90.00 90.00°
Sites, in units of the cell vectors:
Sr  0.000  0.000  0.000
Ca  0.000  0.000  0.207
Ca  0.000  0.000  0.402
Ca  0.000  0.000  0.598
Ca  0.000  0.000  0.793
Au  0.500  0.500  0.112
Au  0.500  0.500  0.304
Au  0.500  0.500  0.500
Au  0.500  0.500  0.696
Au  0.500  0.500  0.888

Calculated values
Calculated volume (Å³ per atom): 24.9
ΔE_f (eV per atom): -0.77
Crystal system: tetragonal


No. 7
Density functional theory data (PBE-GGA) for a geometry-optimized SrCa2Au structure.

Cell: 6.429 6.429 6.429 Å, 134.66 134.66 66.06°
Sites, in units of the cell vectors:
Sr  0.000  0.000  0.000
Ca  0.500  0.500  0.000
Ca  0.750  0.250  0.500
Au  0.250  0.750  0.500

Calculated values
Calculated volume (Å³ per atom): 33.1
ΔE_f (eV per atom): -0.16
Polymorph energy (0 for the lowest one) (eV per atom): 0.297
Crystal system: tetragonal


No. 8
Density functional theory data (PBE-GGA) for a geometry-optimized SrCa3Au3 structure.

Cell: 8.105 8.105 8.105 Å, 90.00 90.00 90.00°
Sites, in units of the cell vectors:
Sr  0.000  0.000  0.000
Sr  0.500  0.500  0.500
Ca  0.000  0.250  0.500
Ca  0.000  0.750  0.500
Ca  0.250  0.500  0.000
Ca  0.500  0.000  0.250
Ca  0.500  0.000  0.750
Ca  0.750  0.500  0.000
Au  0.000  0.500  0.250
Au  0.000  0.500  0.750
Au  0.250  0.000  0.500
Au  0.500  0.250  0.000
Au  0.500  0.750  0.000
Au  0.750  0.000  0.500

Calculated values
Calculated volume (Å³ per atom): 38.0
ΔE_f (eV per atom): -0.36
Crystal system: cubic